The following is a GGA-PBE calculation of a relaxed structure of Cs2TeBr6O, from Alexandria via LeMat-Bulk.

Calculated values
Formation energy without anion corrections ... -7.31 eV/f.u.
E ... -27.2 eV/f.u.
Magnetic moment ... 0.01 Bohr magnetons per cell

a b c (Å): 7.372 7.372 12.181
angles (deg): 90.00 90.00 90.00
Space group I4/mmm (No. 139)
Asymmetric unit:
1 Cs 0.000 0.500 0.250 [4 per cell]
2 Te 0.000 0.000 0.000 [2 per cell]
3 Br 0.000 0.000 0.225 [4 per cell]
4 Br 0.232 0.232 0.500 [8 per cell]
5 O 0.000 0.000 0.500 [2 per cell]

The following is a GGA-PBE calculation of a relaxed structure of Cs6TeBr2O, from Alexandria via LeMat-Bulk.

Calculated values
Formation energy without anion corrections ... -12.67 eV/f.u.
E ... -29.2 eV/f.u.
Magnetic moment ... 0.21 Bohr magnetons per cell

a b c (Å): 8.732 9.106 14.932
angles (deg): 90.00 122.97 90.00
Space group P2_1/c (No. 14)
Asymmetric unit:
1 Cs 0.087 0.227 0.422 [4 per cell]
2 Cs 0.190 0.674 0.429 [4 per cell]
3 Cs 0.355 0.061 0.215 [4 per cell]
4 Te 0.500 0.000 0.500 [2 per cell]
5 Br 0.213 0.075 0.743 [4 per cell]
6 O 0.000 0.000 0.000 [2 per cell]

The following is a GGA-PBE calculation of a relaxed structure of CsTlBr2O6, from Alexandria via LeMat-Bulk.

Calculated values
Formation energy without anion corrections ... -4.12 eV/f.u.
E ... -40.4 eV/f.u.
Magnetic moment ... 0.00 Bohr magnetons per cell

a b c (Å): 10.699 12.242 7.577
angles (deg): 90.00 105.81 90.00
Space group C2/c (No. 15)
Asymmetric unit:
1 Cs 0.000 0.176 0.250 [4 per cell]
2 Tl 0.000 0.420 0.750 [4 per cell]
3 Br 0.205 0.123 0.814 [8 per cell]
4 O 0.132 0.399 0.135 [8 per cell]
5 O 0.138 0.042 0.635 [8 per cell]
6 O 0.186 0.252 0.733 [8 per cell]

The following is a GGA-PBE calculation of a relaxed structure of Cs2TlBr6O, from Alexandria via LeMat-Bulk.

Calculated values
Formation energy without anion corrections ... -6.99 eV/f.u.
E ... -26.1 eV/f.u.
Magnetic moment ... 0.00 Bohr magnetons per cell

a b c (Å): 7.368 7.368 12.747
angles (deg): 90.00 90.00 90.00
Space group I4/mmm (No. 139)
Asymmetric unit:
1 Cs 0.000 0.500 0.250 [4 per cell]
2 Tl 0.000 0.000 0.000 [2 per cell]
3 Br 0.000 0.000 0.222 [4 per cell]
4 Br 0.224 0.224 0.500 [8 per cell]
5 O 0.000 0.000 0.500 [2 per cell]

The following is a GGA-PBE calculation of a relaxed structure of CsTlBr2O, from Alexandria via LeMat-Bulk.

Calculated values
Formation energy without anion corrections ... -4.52 eV/f.u.
E ... -16.0 eV/f.u.
Magnetic moment ... 0.11 Bohr magnetons per cell

a b c (Å): 6.032 6.032 4.201
angles (deg): 90.00 90.00 90.00
Space group P4/mmm (No. 123)
Asymmetric unit:
1 Cs 0.000 0.000 0.000 [1 per cell]
2 Tl 0.500 0.500 0.500 [1 per cell]
3 Br 0.000 0.500 0.500 [2 per cell]
4 O 0.500 0.500 0.000 [1 per cell]

The following is a GGA-PBE calculation of a relaxed structure of Cs2UBr5O, from Alexandria via LeMat-Bulk.

Calculated values
Formation energy without anion corrections ... -16.49 eV/f.u.
E ... -42.8 eV/f.u.
Magnetic moment ... 2.01 Bohr magnetons per cell

a b c (Å): 8.111 8.111 10.903
angles (deg): 90.00 90.00 90.00
Space group I4mm (No. 107)
Asymmetric unit:
1 Cs 0.000 0.500 0.000 [4 per cell]
2 U 0.000 0.000 0.258 [2 per cell]
3 Br 0.000 0.000 0.005 [2 per cell]
4 Br 0.245 0.245 0.250 [8 per cell]
5 O 0.000 0.000 0.426 [2 per cell]

The following is a GGA-PBE calculation of a relaxed structure of Cs2ZnBr6O, from Alexandria via LeMat-Bulk.

Calculated values
Formation energy without anion corrections ... -7.47 eV/f.u.
E ... -25.4 eV/f.u.
Magnetic moment ... 0.00 Bohr magnetons per cell

a b c (Å): 7.538 7.538 11.461
angles (deg): 90.00 90.00 90.00
Space group I4/mmm (No. 139)
Asymmetric unit:
1 Cs 0.000 0.500 0.250 [4 per cell]
2 Zn 0.000 0.000 0.000 [2 per cell]
3 Br 0.000 0.000 0.202 [4 per cell]
4 Br 0.217 0.217 0.500 [8 per cell]
5 O 0.000 0.000 0.500 [2 per cell]

The following is a GGA-PBE calculation of a relaxed structure of CsZnBrO2, from Alexandria via LeMat-Bulk.

Calculated values
Formation energy without anion corrections ... 1.97 eV/f.u.
E ... -11.7 eV/f.u.
Magnetic moment ... 0.00 Bohr magnetons per cell

a b c (Å): 4.322 4.322 7.401
angles (deg): 90.00 90.00 90.00
Space group P4/mmm (No. 123)
Asymmetric unit:
1 Cs 0.000 0.000 0.000 [1 per cell]
2 Zn 0.500 0.500 0.500 [1 per cell]
3 Br 0.000 0.000 0.500 [1 per cell]
4 O 0.000 0.500 0.000 [2 per cell]

The following is a GGA-PBE calculation of a relaxed structure of Cs2ZrBr6O, from Alexandria via LeMat-Bulk.

Calculated values
Formation energy without anion corrections ... -12.06 eV/f.u.
E ... -37.3 eV/f.u.
Magnetic moment ... 4.00 Bohr magnetons per cell

a b c (Å): 7.794 7.794 12.064
angles (deg): 90.00 90.00 90.00
Space group I4/mmm (No. 139)
Asymmetric unit:
1 Cs 0.000 0.500 0.250 [4 per cell]
2 Zr 0.000 0.000 0.000 [2 per cell]
3 Br 0.000 0.000 0.220 [4 per cell]
4 Br 0.241 0.241 0.000 [8 per cell]
5 O 0.000 0.000 0.500 [2 per cell]

The following is a GGA-PBE calculation of a relaxed structure of CsOsBr5, from Alexandria via LeMat-Bulk.

Calculated values
Formation energy without anion corrections ... -3.76 eV/f.u.
E ... -24.2 eV/f.u.
Magnetic moment ... 12.09 Bohr magnetons per cell

a b c (Å): 13.589 7.658 10.923
angles (deg): 90.00 113.72 90.00
Space group C2/c (No. 15)
Asymmetric unit:
1 Cs 0.000 0.000 0.250 [4 per cell]
2 Os 0.000 0.500 0.000 [4 per cell]
3 Br 0.000 0.500 0.250 [4 per cell]
4 Br 0.140 0.272 0.070 [8 per cell]
5 Br 0.141 0.273 0.571 [8 per cell]

The following is a GGA-PBE calculation of a relaxed structure of CsOs2Br8, from Alexandria via LeMat-Bulk.

Calculated values
Formation energy without anion corrections ... -2.81 eV/f.u.
E ... -39.5 eV/f.u.
Magnetic moment ... 3.68 Bohr magnetons per cell

a b c (Å): 5.257 7.894 9.966
angles (deg): 104.58 105.09 90.02
Space group P-1 (No. 2)
Asymmetric unit:
1 Cs 0.000 0.000 0.000 [1 per cell]
2 Os 0.307 0.407 0.617 [2 per cell]
3 Br 0.207 0.563 0.413 [2 per cell]
4 Br 0.219 0.129 0.438 [2 per cell]
5 Br 0.394 0.701 0.790 [2 per cell]
6 Br 0.405 0.265 0.816 [2 per cell]

The following is a GGA-PBE calculation of a relaxed structure of Cs3OsBr6, from Alexandria via LeMat-Bulk.

Calculated values
Formation energy without anion corrections ... -10.42 eV/f.u.
E ... -34.2 eV/f.u.
Magnetic moment ... 4.00 Bohr magnetons per cell

a b c (Å): 11.797 11.797 11.797
angles (deg): 90.00 90.00 90.00
Space group Fm-3m (No. 225)
Asymmetric unit:
1 Cs 0.000 0.000 0.000 [4 per cell]
2 Cs 0.250 0.250 0.250 [8 per cell]
3 Os 0.000 0.000 0.500 [4 per cell]
4 Br 0.000 0.000 0.286 [24 per cell]

The following is a GGA-PBE calculation of a relaxed structure of CsOsBr2, from Alexandria via LeMat-Bulk.

Calculated values
Formation energy without anion corrections ... 0.94 eV/f.u.
E ... -14.5 eV/f.u.
Magnetic moment ... 9.00 Bohr magnetons per cell

a b c (Å): 6.4921 6.4921 17.8306
angles (deg): 90.00 90.00 120.00
Space group R-3m (No. 166, hexagonal axes)
Asymmetric unit:
1 Cs 0.0000 0.0000 0.0000 [3 per cell]
2 Os 0.0000 0.0000 0.5000 [3 per cell]
3 Br 0.0000 0.0000 0.3659 [6 per cell]

The following is a GGA-PBE calculation of a relaxed structure of Cs2OsBr7, from Alexandria via LeMat-Bulk.

Calculated values
Formation energy without anion corrections ... -6.67 eV/f.u.
E ... -31.3 eV/f.u.
Magnetic moment ... 2.45 Bohr magnetons per cell
Energy relative to the lowest polymorph listed for this composition ... 0.92 eV per formula unit

a b c (Å): 18.112 7.710 14.019
angles (deg): 90.00 129.41 90.00
Space group C2/c (No. 15)
Asymmetric unit:
1 Cs 0.165 0.028 0.054 [8 per cell]
2 Os 0.000 0.495 0.750 [4 per cell]
3 Br 0.000 0.171 0.250 [4 per cell]
4 Br 0.075 0.222 0.729 [8 per cell]
5 Br 0.090 0.400 0.173 [8 per cell]
6 Br 0.150 0.499 0.475 [8 per cell]

The following is a GGA-PBE calculation of a relaxed structure of Cs2OsBr, from Alexandria via LeMat-Bulk.

Calculated values
Formation energy without anion corrections ... 2.54 eV/f.u.
E ... -12.1 eV/f.u.
Magnetic moment ... 12.00 Bohr magnetons per cell

a b c (Å): 8.894 8.894 8.894
angles (deg): 90.00 90.00 90.00
Space group Fm-3m (No. 225)
Asymmetric unit:
1 Cs 0.250 0.250 0.250 [8 per cell]
2 Os 0.000 0.000 0.000 [4 per cell]
3 Br 0.000 0.000 0.500 [4 per cell]

The following is a GGA-PBE calculation of a relaxed structure of Cs2OsBr7, from Alexandria via LeMat-Bulk.

Calculated values
Formation energy without anion corrections ... -7.59 eV/f.u.
E ... -32.2 eV/f.u.
Magnetic moment ... 6.00 Bohr magnetons per cell
Energy relative to the lowest polymorph listed for this composition ... 0.00 eV per formula unit

a b c (Å): 8.200 8.200 11.684
angles (deg): 90.00 90.00 90.00
Space group I4/mmm (No. 139)
Asymmetric unit:
1 Cs 0.000 0.500 0.250 [4 per cell]
2 Os 0.000 0.000 0.000 [2 per cell]
3 Br 0.000 0.000 0.214 [4 per cell]
4 Br 0.000 0.000 0.500 [2 per cell]
5 Br 0.216 0.216 0.000 [8 per cell]

The following is a GGA-PBE calculation of a relaxed structure of CsOs3Br, from Alexandria via LeMat-Bulk.

Calculated values
Formation energy without anion corrections ... 20.12 eV/f.u.
E ... -16.1 eV/f.u.
Magnetic moment ... 7.54 Bohr magnetons per cell

a b c (Å): 5.159 5.159 5.159
angles (deg): 90.00 90.00 90.00
Space group Pm-3m (No. 221)
Asymmetric unit:
1 Cs 0.000 0.000 0.000 [1 per cell]
2 Os 0.000 0.000 0.500 [3 per cell]
3 Br 0.500 0.500 0.500 [1 per cell]

The following is a GGA-PBE calculation of a relaxed structure of Cs2OsPbBr6, from Alexandria via LeMat-Bulk.

Calculated values
Formation energy without anion corrections ... -8.18 eV/f.u.
E ... -34.9 eV/f.u.
Magnetic moment ... 0.00 Bohr magnetons per cell

a b c (Å): 11.133 11.133 11.133
angles (deg): 90.00 90.00 90.00
Space group Fm-3m (No. 225)
Asymmetric unit:
1 Cs 0.250 0.250 0.250 [8 per cell]
2 Os 0.000 0.000 0.000 [4 per cell]
3 Pb 0.000 0.000 0.500 [4 per cell]
4 Br 0.000 0.000 0.230 [24 per cell]

The following is a GGA-PBE calculation of a relaxed structure of Cs2RbOsBr8, from Alexandria via LeMat-Bulk.

Calculated values
Formation energy without anion corrections ... -10.87 eV/f.u.
E ... -38.2 eV/f.u.
Magnetic moment ... 3.05 Bohr magnetons per cell

a b c (Å): 6.279 10.658 8.204
angles (deg): 90.00 106.86 90.00
Space group P2/m (No. 10)
Asymmetric unit:
1 Cs 0.000 0.247 0.000 [2 per cell]
2 Rb 0.500 0.000 0.500 [1 per cell]
3 Os 0.500 0.500 0.500 [1 per cell]
4 Br 0.077 0.000 0.744 [2 per cell]
5 Br 0.107 0.500 0.323 [2 per cell]
6 Br 0.417 0.332 0.686 [4 per cell]

The following is a GGA-PBE calculation of a relaxed structure of CsRbOsBr6, from Alexandria via LeMat-Bulk.

Calculated values
Formation energy without anion corrections ... -7.48 eV/f.u.
E ... -30.6 eV/f.u.
Magnetic moment ... 2.00 Bohr magnetons per cell

a b c (Å): 8.1232 8.1232 7.0022
angles (deg): 90.00 90.00 120.00
Space group P312 (No. 149)
Asymmetric unit:
1 Cs 0.0000 0.0000 0.0000 [1 per cell]
2 Rb 0.3333 0.6667 0.5000 [1 per cell]
3 Os 0.6667 0.3333 0.5000 [1 per cell]
4 Br 0.4156 0.0821 0.7095 [6 per cell]

The following is a GGA-PBE calculation of a relaxed structure of CsRb2OsBr8, from Alexandria via LeMat-Bulk.

Calculated values
Formation energy without anion corrections ... -11.06 eV/f.u.
E ... -38.5 eV/f.u.
Magnetic moment ... 2.65 Bohr magnetons per cell

a b c (Å): 6.894 7.085 10.248
angles (deg): 80.55 76.38 74.96
Space group P-1 (No. 2)
Asymmetric unit:
1 Cs 0.000 0.000 0.000 [1 per cell]
2 Rb 0.401 0.405 0.299 [2 per cell]
3 Os 0.000 0.000 0.500 [1 per cell]
4 Br 0.116 0.651 0.596 [2 per cell]
5 Br 0.238 0.098 0.612 [2 per cell]
6 Br 0.254 0.484 0.993 [2 per cell]
7 Br 0.277 0.941 0.292 [2 per cell]

The following is a GGA-PBE calculation of a relaxed structure of Cs2ScOsBr6, from Alexandria via LeMat-Bulk.

Calculated values
Formation energy without anion corrections ... -9.71 eV/f.u.
E ... -39.0 eV/f.u.
Magnetic moment ... 2.00 Bohr magnetons per cell

a b c (Å): 7.570 7.570 10.733
angles (deg): 90.00 90.00 90.00
Space group I4/mmm (No. 139)
Asymmetric unit:
1 Cs 0.000 0.500 0.250 [4 per cell]
2 Sc 0.000 0.000 0.000 [2 per cell]
3 Os 0.000 0.000 0.500 [2 per cell]
4 Br 0.000 0.000 0.254 [4 per cell]
5 Br 0.245 0.245 0.500 [8 per cell]